{"formula": "NaBiOs3", "functional": "PBE", "state": "optimized geometry", "polymorph_energy_mev_per_atom": 128.6, "formation_enthalpy_0k_mev_per_atom": 2811, "final_energy_ev_per_atom": -4.966, "lattice": [[4.591, 0.000, 0.000], [0.000, 4.591, 0.000], [0.000, 0.000, 4.591]], "species": ["Na", "Bi", "Os", "Os", "Os"], "fractional_positions": [[0.000, 0.000, 0.000], [0.500, 0.500, 0.500], [0.000, 0.000, 0.500], [0.000, 0.500, 0.000], [0.500, 0.000, 0.000]]}